(1)
{
  "formula": "BeNbCuPd",
  "functional": "PBE",
  "state": "relaxed",
  "total_magnetization_mub_per_atom": 0.00,
  "spacegroup": "F-43m (216)",
  "e_above_lowest_polymorph_mev_per_atom": 0.0,
  "lattice_angstrom": [[0.000, 2.988, 2.988], [2.988, 0.000, 2.988], [2.988, 2.988, 0.000]],
  "species": ["Cu", "Be", "Nb", "Pd"],
  "frac_coords": [[0.250, 0.250, 0.250], [0.750, 0.750, 0.750], [0.500, 0.500, 0.500], [0.000, 0.000, 0.000]]
}

=====

(2)
{
  "formula": "YHo2Co8Ni",
  "functional": "PBE",
  "state": "relaxed",
  "total_magnetization_mub_per_atom": 0.77,
  "ef_ev_per_atom": -0.20,
  "spacegroup": "R-3m (166)",
  "lattice_angstrom": [[2.458, 1.419, 8.163], [-2.458, 1.419, 8.163], [0.000, -2.838, 8.163]],
  "species": ["Co", "Co", "Co", "Co", "Co", "Co", "Co", "Co", "Ho", "Ho", "Ni", "Y"],
  "frac_coords": [[0.080, 0.581, 0.581], [0.334, 0.334, 0.334], [0.666, 0.666, 0.666], [0.920, 0.419, 0.419], [0.581, 0.080, 0.581], [0.581, 0.581, 0.080], [0.419, 0.920, 0.419], [0.419, 0.419, 0.920], [0.140, 0.140, 0.140], [0.860, 0.860, 0.860], [0.500, 0.500, 0.500], [0.000, 0.000, 0.000]]
}